A plane-wave DFT calculation with PBE was carried out for an optimized crystal structure of Nd8P3S3O.

```
Nd8P3S3O
1.0
-0.0344 -4.7597 6.5530
6.2720 -0.2039 -5.1204
-1.1518 6.5262 4.7344
Nd P S O
8 3 3 1
Cartesian
2.8570 0.3673 0.2818 Nd
2.2289 1.1953 5.8852 Nd
3.0072 -1.9968 3.5706 Nd
2.0787 3.5593 2.5963 Nd
-0.3171 -1.8888 6.2847 Nd
5.4030 3.4513 -0.1177 Nd
-0.2989 0.6342 2.8113 Nd
5.3848 0.9284 3.3557 Nd
-0.5931 0.8832 5.6437 P
2.5430 0.7813 3.0835 P
2.5601 3.1611 -0.1930 P
0.0000 0.0000 0.0000 S
3.1360 -0.1020 -2.5602 S
3.1188 -2.4818 0.7163 S
-0.5759 3.2631 2.3672 O
```

Computed properties:
**D(E_F)**: 7.35 states/eV per cell
**Total DFT energy (no corrections)**: -98.1 eV per formula unit
**Calculated density**: 5.96 g/cm³
**Formation energy from raw total energies**: -1.7611 eV per atom
**Total moment**: 0.000 μB per atom